1.
The following is a DFT calculation (PBE) of crystalline BaZnSi at its relaxed geometry.

a = 7.4741 Å, b = 7.4741 Å, c = 4.8226 Å
α = 90.00°, β = 90.00°, γ = 120.00°
Space group P-62m (No. 189)
Unique sites:
Ba: 0.0000 0.5732 0.0000 (multiplicity 3)
Zn: 0.0000 0.2482 0.5000 (multiplicity 3)
Si: 0.0000 0.0000 0.0000 (multiplicity 1)
Si: 0.3333 0.6667 0.5000 (multiplicity 2)



2.
The following is a DFT calculation (PBE) of crystalline BaZnSi at its relaxed geometry.

a = 7.5940 Å, b = 7.5940 Å, c = 4.6767 Å
α = 90.00°, β = 90.00°, γ = 120.00°
Space group P-62m (No. 189)
Unique sites:
Ba: 0.0000 0.5773 0.0000 (multiplicity 3)
Zn: 0.0000 0.0000 0.0000 (multiplicity 1)
Zn: 0.3333 0.6667 0.5000 (multiplicity 2)
Si: 0.0000 0.1998 0.5000 (multiplicity 3)



3.
The following is a DFT calculation (PBE) of crystalline BaZnSi at its relaxed geometry.

a = 8.7279 Å, b = 8.7279 Å, c = 3.8958 Å
α = 90.00°, β = 90.00°, γ = 120.00°
Space group P-62m (No. 189)
Unique sites:
Ba: 0.0000 0.2875 0.0000 (multiplicity 3)
Zn: 0.0000 0.6144 0.5000 (multiplicity 3)
Si: 0.0000 0.0000 0.5000 (multiplicity 1)
Si: 0.3333 0.6667 0.0000 (multiplicity 2)



Respective VASP energy values: -8.99; -8.77; -7.92 eV/f.u..